[1]
# Er2HgIr

A geometry-optimized Er2HgIr structure (PBE-GGA, Alexandria via LeMat-Bulk).

Unit cell a=4.991 b=4.991 c=4.991 alpha=60.00 beta=60.00 gamma=60.00
Atoms (fractional coordinates):
Ir  0.500  0.500  0.500
Hg  0.000  0.000  0.000
Er  0.250  0.250  0.250
Er  0.750  0.750  0.750

symmetry: Fm-3m (225)
Fermi-level density of states: 0.473 states/eV per atom
crystal system: cubic
formation enthalpy at 0 K: -0.65 eV/atom
calculated volume: 87.9 Å³ per cell
E above lowest polymorph: 78.7 meV per atom



[2]
# MgSbMo2I

A geometry-optimized MgSbMo2I structure (PBE-GGA, Alexandria via LeMat-Bulk).

Unit cell a=5.010 b=5.777 c=5.010 alpha=90.00 beta=90.00 gamma=90.00
Each line ends with the local moment (μB).
Atoms (fractional coordinates):
I  0.000  0.000  0.000  -0.02
Sb  0.000  0.500  0.000  -0.04
Mo  0.000  0.000  0.500  1.56
Mo  0.500  0.000  0.000  1.71
Mg  0.500  0.500  0.500  -0.03

symmetry: P4/mmm (123)
Fermi-level density of states: 0.890 states/eV per atom
crystal system: tetragonal
calculated volume: 145.0 Å³ per cell
formation energy (no corrections): 176.8 kJ per mole of atoms



Question: Among the records above, which one has the highest Fermi-level density of states?
Answer: MgSbMo2I